A relaxed LaErMgRu crystal. Source: Alexandria, functional PBE-GGA.

Energy relative to the elements ... -2.759 kcal/mol of atoms
Size of the total moment ... 0.000 μB/atom

Lattice parameters (Å, degrees): 5.1257 5.1257 5.1257 60.00 60.00 60.00
Atoms (fractional coordinates):
La (0.0000, 0.0000, 0.0000)
Er (0.5000, 0.5000, 0.5000)
Mg (0.7500, 0.7500, 0.7500)
Ru (0.2500, 0.2500, 0.2500)


A relaxed LaErMgSc crystal. Source: Alexandria, functional PBE-GGA.

Energy relative to the elements ... 0.551 kcal/mol of atoms
Size of the total moment ... 0.001 μB/atom

Lattice parameters (Å, degrees): 5.4690 5.4690 5.4690 60.00 60.00 60.00
Atoms (fractional coordinates):
La (0.0000, 0.0000, 0.0000)
Er (0.5000, 0.5000, 0.5000)
Mg (0.2500, 0.2500, 0.2500)
Sc (0.7500, 0.7500, 0.7500)


Final energy, respectively: -5.2098, -4.3302 eV per atom.
V, respectively: 95.22, 115.67 Å³ per cell.